{
  "formula": "LaMn2NF",
  "functional": "GGA+U",
  "state": "relaxed",
  "dft_energy_ev_per_cell": -20.65,
  "space_group": "P4/mmm",
  "cell": [[5.617, 0.000, 0.000], [0.000, 5.617, 0.000], [0.000, 0.000, 4.126]],
  "species": ["La", "Mn", "Mn", "N", "F"],
  "frac_coords": [[0.000, 0.000, 0.000], [0.000, 0.500, 0.000], [0.500, 0.000, 0.000], [0.000, 0.000, 0.500], [0.500, 0.500, 0.500]]
}